Record 1
Entry from Alexandria via LeMat-Bulk: a relaxed structure of Ba2LaAlCl (PBE).

The structure in extended XYZ format:
```
5
Lattice="6.5837 0.0000 0.0000 0.0000 6.5837 0.0000 0.0000 0.0000 5.8801" Properties=species:S:1:pos:R:3 pbc="T T T"
Ba 0.0000 3.2919 0.0000
Ba 3.2919 0.0000 0.0000
La 0.0000 0.0000 2.9401
Al 0.0000 0.0000 0.0000
Cl 3.2919 3.2919 2.9401
```

Results
DOS(E_F): 4.8 states/eV per cell
Formation energy from raw total energies: -183 meV per atom

Record 2
Entry from Alexandria via LeMat-Bulk: a relaxed structure of BaLi2AlCl8 (PBE).

The structure in extended XYZ format:
```
12
Lattice="6.3666 0.0000 0.0000 -3.1833 5.5137 0.0000 0.0000 0.0000 8.2902" Properties=species:S:1:pos:R:3 pbc="T T T"
Ba 0.0000 0.0000 0.0000
Li 0.0000 3.6758 5.7284
Li 3.1833 1.8379 2.5618
Al 0.0000 0.0000 4.1451
Cl -2.1250 3.9634 2.7634
Cl 0.8134 1.6917 2.7634
Cl 1.8717 0.1414 5.5268
Cl 0.0000 3.6758 8.1308
Cl 3.1833 1.8379 0.1594
Cl 1.3116 5.3723 2.7634
Cl 2.3699 3.8220 5.5268
Cl 5.3083 1.5503 5.5268
```

Results
DOS(E_F): 14.8 states/eV per cell
Formation energy from raw total energies: -1619 meV per atom